HfCl: relaxed, PBE.

Cell lengths 4.0431, 4.0431, 4.0431 Å; angles 60.00, 60.00, 60.00 degrees
Closest atoms and distances in Å follow each position.
Element x y z (fractional)
Hf (0.0000, 0.0000, 0.0000)  4 Cl 2.48
Cl (0.2500, 0.2500, 0.2500)  4 Hf 2.48

For the density of states at the Fermi level, the calculation gives 3.33 states/eV per cell. The raw formation energy comes out at 0.24 eV/atom. Its total magnetization is 0.4 μB/cell.